{
  "formula": "PtPb3",
  "functional": "GGA-PBEsol",
  "state": "optimized geometry",
  "cell": [[-2.877, 0.945, 2.166], [-1.970, -6.204, 0.090], [5.812, 1.671, 6.991]],
  "species": ["Pb", "Pb", "Pb", "Pb", "Pb", "Pb", "Pt", "Pt"],
  "frac_coords": [[0.750, 0.835, 0.160], [0.750, 0.777, 0.555], [0.250, 0.675, 0.840], [0.750, 0.325, 0.160], [0.250, 0.223, 0.445], [0.250, 0.165, 0.840], [0.250, 0.656, 0.311], [0.750, 0.344, 0.689]],
  "relative_energy_mev_per_atom": 38.0,
  "space_group": "Cmcm",
  "e_form_ev_per_atom": -0.05,
  "n_ef_per_ev_atom": 0.460,
  "e_tot_ev_per_atom": -4.795
}